Model 1:
KTi3Nb, optimized geometry, DFT PBE-GGA; space group = Pm-3m (221); Fermi-level density of states = 1.5376 states/eV/atom; total magnetic moment = 1.15 μB/f.u.
1.0
5.019 0.000 0.000
0.000 5.019 0.000
0.000 0.000 5.019
K Ti Nb
1 3 1
Direct
0.000 0.000 0.000
0.000 0.500 0.500
0.500 0.000 0.500
0.500 0.500 0.000
0.500 0.500 0.500



Model 2:
KTi3Nb, optimized geometry, DFT PBE-GGA; space group = Pm-3m (221); Fermi-level density of states = 1.7633 states/eV/atom; total magnetic moment = 0.01 μB/f.u.
1.0
4.513 0.000 0.000
0.000 4.513 0.000
0.000 0.000 4.513
K Ti Nb
1 3 1
Direct
0.000 0.000 0.000
0.000 0.000 0.500
0.000 0.500 0.000
0.500 0.000 0.000
0.500 0.500 0.500



The structure with the greatest stability is model 1.